{
  "formula": "ErGa2SiTc2",
  "functional": "GGA-PBE",
  "state": "relaxed",
  "cell": [[4.4955, 0.0000, 0.0000], [0.0000, 4.4955, 0.0000], [0.0000, 0.0000, 5.4976]],
  "species": ["Er", "Ga", "Ga", "Si", "Tc", "Tc"],
  "fractional_positions": [[0.0000, 0.0000, 0.5000], [0.5000, 0.5000, 0.7334], [0.5000, 0.5000, 0.2666], [0.0000, 0.0000, 0.0000], [0.5000, 0.0000, 0.0000], [0.0000, 0.5000, 0.0000]],
  "dos_at_fermi_per_ev_atom": 0.71,
  "e_tot_ev_per_atom": -6.38,
  "sg": "No. 123"
}